# SrCaB5H2ClO10 (PBE-GGA, relaxed)
# Space-group type: No. 1
# DFT total energy in eV/cell: -143.4
# DOS at the Fermi energy in states/eV/f.u.: 0.000
data_SrCaB5H2ClO10
_chemical_formula_sum 'Sr1 Ca1 B5 H2 Cl1 O10'
_cell_length_a 6.446
_cell_length_b 6.548
_cell_length_c 6.686
_cell_angle_alpha 75.71
_cell_angle_beta 61.24
_cell_angle_gamma 60.81
_symmetry_space_group_name_H-M 'P 1'
_symmetry_Int_Tables_number 1
loop_
_symmetry_equiv_pos_as_xyz
'x,y,z'
loop_
_atom_site_label
_atom_site_type_symbol
_atom_site_fract_x
_atom_site_fract_y
_atom_site_fract_z
_atom_site_occupancy
Sr1 Sr 0.000 0.000 0.000 1
Ca1 Ca 0.866 0.483 0.460 1
B1 B 0.330 0.005 0.340 1
B2 B 0.351 0.599 0.453 1
B3 B 0.468 0.159 0.549 1
B4 B 0.569 0.047 0.888 1
B5 B 0.931 0.929 0.492 1
H1 H 0.170 0.426 0.953 1
H2 H 0.876 0.592 0.007 1
Cl1 Cl 0.624 0.524 0.924 1
O1 O 0.019 0.565 0.045 1
O2 O 0.082 0.062 0.332 1
O3 O 0.106 0.671 0.464 1
O4 O 0.267 0.167 0.501 1
O5 O 0.375 0.131 0.812 1
O6 O 0.448 0.758 0.419 1
O7 O 0.509 0.374 0.488 1
O8 O 0.527 0.032 0.111 1
O9 O 0.724 0.964 0.437 1
O10 O 0.828 0.990 0.732 1